1.
Computed, not measured: a geometry-optimized Be2ZnSb structure at the PBE level of DFT.

Unit cell a=8.236 b=8.236 c=8.236 alpha=151.03 beta=151.03 gamma=41.43
Element x y z (fractional)
Be: 0.020 0.625 0.895
Be: 0.375 0.270 0.395
Be: 0.730 0.125 0.105
Be: 0.875 0.980 0.605
Zn: 0.000 0.000 0.000
Zn: 0.750 0.250 0.500
Sb: 0.250 0.750 0.500
Sb: 0.500 0.500 0.000

Computed properties:
total magnetic moment: 0.00 μB per atom
volume: 130.8 Å³/cell
ΔE_f (raw): 133 kJ/mol of formula units
DOS(E_F): 0.330 states/eV per atom
crystal system: tetragonal
density: 5.21 g cm⁻³

***

2.
Computed, not measured: a geometry-optimized Be2ZnSb structure at the PBE level of DFT.

Unit cell a=2.911 b=3.556 c=5.887 alpha=90.00 beta=90.00 gamma=90.00
Element x y z (fractional)
Be: 0.000 0.000 0.188
Be: 0.000 0.000 0.812
Zn: 0.500 0.500 0.000
Sb: 0.500 0.500 0.500

Computed properties:
total magnetic moment: 0.00 μB per atom
volume: 61.0 Å³/cell
ΔE_f (raw): 206 kJ/mol of formula units
DOS(E_F): 0.301 states/eV per atom
crystal system: orthorhombic
density: 5.59 g cm⁻³

***

3.
Computed, not measured: a geometry-optimized BeZnSb2 structure at the PBE level of DFT.

Unit cell a=4.446 b=4.643 c=4.466 alpha=90.00 beta=108.85 gamma=90.00
Element x y z (fractional)
Be: 0.000 0.000 0.000
Zn: 0.830 0.500 0.169
Sb: 0.193 0.500 0.806
Sb: 0.631 0.000 0.368

Computed properties:
total magnetic moment: 0.00 μB per atom
volume: 87.3 Å³/cell
ΔE_f (raw): 76 kJ/mol of formula units
DOS(E_F): 0.229 states/eV per atom
crystal system: monoclinic
density: 6.05 g cm⁻³